Density functional theory data (PBE) for an optimized crystal structure of LaDyTm2Se6.

Cell lengths 7.2747, 7.2747, 19.3297 Å; angles 90.00, 90.00, 120.00 degrees
Space group R3 (No. 146, hexagonal axes)
Asymmetric unit:
La: 0.0000 0.0000 0.0000 (multiplicity 3)
Dy: 0.0000 0.0000 0.4917 (multiplicity 3)
Tm: 0.0000 0.0000 0.2934 (multiplicity 3)
Tm: 0.0000 0.0000 0.7979 (multiplicity 3)
Se: 0.0098 0.3124 0.8905 (multiplicity 9)
Se: 0.0214 0.6325 0.0574 (multiplicity 9)

Properties
**Uncorrected formation energy**: -1.873 eV/atom
**Electronic total energy**: -5.81 eV/atom
**Magnetization**: 0.00 μB per cell